# KCu2Te | Alexandria via LeMat-Bulk | PBE | optimized geometry
# magnetization	0.00	μB per formula unit
# formation energy from raw total energies	6.75	kcal/mol of atoms
# energy	-11.26	eV/cell
data_KCu2Te
_cell_length_a 3.753
_cell_length_b 3.753
_cell_length_c 7.035
_cell_angle_alpha 90.00
_cell_angle_beta 90.00
_cell_angle_gamma 90.00
_space_group_name_H-M_alt 'P 4/m m m'
_space_group_IT_number 123
_space_group_name_Hall '-P 4 2'
loop_
_atom_site_label
_atom_site_type_symbol
_atom_site_fract_x
_atom_site_fract_y
_atom_site_fract_z
_atom_site_occupancy
K1 K 0.000 0.000 0.000 1
Cu1 Cu 0.500 0.500 0.332 1
Te1 Te 0.000 0.000 0.500 1